First-principles (PBE) data for crystalline Rb3TlTe2 at its relaxed geometry, as listed in Alexandria.

raw total energy: -2.725 eV/atom
symmetry: Pnma, No. 62
formation energy without anion corrections: -0.800 eV per atom

POSCAR file:
```
Rb3TlTe2
1.0
5.2595 0.0000 0.0000
0.0000 15.4245 0.0000
0.0000 0.0000 14.0493
Rb Tl Te
12 4 8
Direct
0.2500 0.3993 0.0637
0.7500 0.6007 0.9363
0.7500 0.8993 0.4363
0.2500 0.1007 0.5637
0.2500 0.6840 0.1714
0.7500 0.3160 0.8286
0.7500 0.1840 0.3286
0.2500 0.8160 0.6714
0.2500 0.4499 0.3738
0.7500 0.5501 0.6262
0.7500 0.9499 0.1262
0.2500 0.0501 0.8738
0.2500 0.1838 0.1602
0.7500 0.8162 0.8398
0.7500 0.6838 0.3398
0.2500 0.3162 0.6602
0.2500 0.6699 0.4705
0.7500 0.3301 0.5295
0.7500 0.1699 0.0295
0.2500 0.8301 0.9705
0.2500 0.0201 0.3085
0.7500 0.9799 0.6915
0.7500 0.5201 0.1915
0.2500 0.4799 0.8085
```

First-principles (PBE) data for crystalline Rb2OsI2Br4 at its relaxed geometry, as listed in Alexandria.

raw total energy: -3.336 eV/atom
symmetry: I4/mmm, No. 139
DOS at the Fermi energy: 0.6063 states/eV/atom
formation energy without anion corrections: -0.785 eV per atom

POSCAR file:
```
Rb2OsI2Br4
1.0
7.7580 -0.0695 -0.1003
-3.7849 6.7724 0.1003
-3.7849 -2.2855 6.3759
Rb Os I Br
2 1 2 4
Direct
0.5000 0.7500 0.2500
0.5000 0.2500 0.7500
0.0000 0.0000 0.0000
0.0000 0.7521 0.7521
0.0000 0.2479 0.2479
0.0000 0.7719 0.2281
0.5439 0.7719 0.7719
0.0000 0.2281 0.7719
0.4561 0.2281 0.2281
```

First-principles (PBE) data for crystalline Er8Al3Sb2 at its relaxed geometry, as listed in Alexandria.

raw total energy: -4.691 eV/atom
symmetry: Cmmm, No. 65
DOS at the Fermi energy: 0.7132 states/eV/atom
formation energy without anion corrections: -0.385 eV per atom

POSCAR file:
```
Er8Al3Sb2
1.0
4.8225 0.0000 0.7014
-0.0004 9.9698 0.0027
-1.0759 -4.9829 7.4008
Er Al Sb
8 3 2
Direct
0.0001 0.6105 0.2213
0.9999 0.3895 0.7787
0.0000 0.1273 0.2549
0.0000 0.8727 0.7451
0.5000 0.6345 0.7585
0.5000 0.1239 0.7583
0.5000 0.8761 0.2417
0.5000 0.3655 0.2415
0.5000 0.0000 0.0000
0.0000 0.2440 0.0000
0.0000 0.7560 0.0000
0.4999 0.2615 0.5227
0.5001 0.7385 0.4773
```

First-principles (PBE) data for crystalline NaTl4Zn3F12 at its relaxed geometry, as listed in Alexandria.

raw total energy: -3.945 eV/atom
symmetry: Im-3m, No. 229
DOS at the Fermi energy: 0.8151 states/eV/atom
formation energy without anion corrections: -2.092 eV per atom

POSCAR file:
```
NaTl4Zn3F12
1.0
-6.5827 -0.6224 -3.1396
3.0288 -6.6315 0.6524
-0.7345 3.0099 6.6315
Na Tl Zn F
1 4 3 12
Direct
0.0000 0.0000 0.0000
0.5000 0.5000 0.5000
0.0000 0.0000 0.5000
0.5000 0.0000 0.0000
0.0000 0.5000 0.0000
0.5000 0.0000 0.5000
0.5000 0.5000 0.0000
0.0000 0.5000 0.5000
0.2500 0.5000 0.7500
0.7347 0.0000 0.7347
0.2653 0.0000 0.2653
0.7500 0.5000 0.2500
0.7347 0.7347 0.0000
0.2653 0.2653 0.0000
0.7500 0.2500 0.5000
0.2500 0.7500 0.5000
0.5000 0.2500 0.7500
0.0000 0.7347 0.7347
0.5000 0.7500 0.2500
0.0000 0.2653 0.2653
```

First-principles (PBE) data for crystalline ReSiS2Cl at its relaxed geometry, as listed in Alexandria.

raw total energy: -5.031 eV/atom
symmetry: P4/mmm, No. 123
DOS at the Fermi energy: 0.8320 states/eV/atom
formation energy without anion corrections: 0.564 eV per atom

POSCAR file:
```
ReSiS2Cl
1.0
4.5747 0.0000 0.0000
0.0000 4.5747 0.0000
0.0000 0.0000 5.0027
Re S Si Cl
1 2 1 1
Direct
0.0000 0.0000 0.0000
0.0000 0.5000 0.0000
0.5000 0.0000 0.0000
0.5000 0.5000 0.5000
0.0000 0.0000 0.5000
```

First-principles (PBE) data for crystalline InRh5 at its relaxed geometry, as listed in Alexandria.

raw total energy: -6.592 eV/atom
ΔH_f (0 K): -0.009 eV per atom
symmetry: Amm2, No. 38
DOS at the Fermi energy: 1.7609 states/eV/atom

POSCAR file:
```
InRh5
1.0
1.4190 -7.1902 0.0000
1.4190 7.1902 0.0000
0.0000 0.0000 4.4574
In Rh
1 5
Direct
0.9994 0.0006 0.0000
0.3276 0.6724 0.0000
0.6693 0.3307 0.0000
0.4409 0.5591 0.5000
0.7791 0.2209 0.5000
0.1170 0.8830 0.5000
```

First-principles (PBE) data for crystalline CaPdO at its relaxed geometry, as listed in Alexandria.

raw total energy: -5.545 eV/atom
symmetry: Cm, No. 8
DOS at the Fermi energy: 0.3186 states/eV/atom
formation energy without anion corrections: -1.494 eV per atom

POSCAR file:
```
CaPdO
1.0
3.1642 0.0008 0.0015
-0.0079 6.0267 0.0057
3.1666 2.7502 5.3634
Ca Pd O
2 2 2
Direct
0.8958 0.4751 0.2832
0.4594 0.9114 0.7195
0.4719 0.9863 0.2083
0.3488 0.3577 0.8370
0.6477 0.7612 0.0317
0.2459 0.1630 0.4334
```

First-principles (PBE) data for crystalline KLi2Hg at its relaxed geometry, as listed in Alexandria.

raw total energy: -1.312 eV/atom
ΔH_f (0 K): -0.005 eV per atom
symmetry: F-43m, No. 216
DOS at the Fermi energy: 0.3469 states/eV/atom

POSCAR file:
```
KLi2Hg
1.0
5.4799 0.0000 0.0000
2.7399 4.7457 0.0000
2.7399 1.5819 4.4743
Hg K Li
1 1 2
Direct
0.5000 0.5000 0.5000
0.7500 0.7500 0.7500
0.0000 0.0000 0.0000
0.2500 0.2500 0.2500
```

First-principles (PBE) data for crystalline Li2TaTc at its relaxed geometry, as listed in Alexandria.

raw total energy: -6.314 eV/atom
ΔH_f (0 K): 0.198 eV per atom
symmetry: Immm, No. 71
DOS at the Fermi energy: 0.5748 states/eV/atom

POSCAR file:
```
Li2TaTc
1.0
5.6094 0.0833 0.0498
4.7767 2.9421 0.0498
1.5866 0.4622 3.9368
Li Ta Tc
2 1 1
Direct
0.9888 0.9888 0.0113
0.5112 0.5112 0.4887
0.7500 0.7500 0.7500
0.2500 0.2500 0.2500
```

First-principles (PBE) data for crystalline HoPd2Au8 at its relaxed geometry, as listed in Alexandria.

raw total energy: -4.046 eV/atom
ΔH_f (0 K): -0.302 eV per atom
symmetry: C2/m, No. 12
DOS at the Fermi energy: 0.3562 states/eV/atom

POSCAR file:
```
HoPd2Au8
1.0
-1.1972 2.5069 3.0932
-5.8984 0.5911 -2.7620
-0.0775 -7.2469 3.0492
Ho Pd Au
1 2 8
Direct
0.5000 0.0000 0.0000
0.7742 0.3669 0.5485
0.2258 0.6331 0.4515
0.4035 0.5442 0.8070
0.6843 0.9128 0.3687
0.8602 0.8096 0.7204
0.9505 0.2776 0.9010
0.1398 0.1904 0.2796
0.3157 0.0872 0.6313
0.5965 0.4558 0.1930
0.0495 0.7224 0.0990
```

First-principles (PBE) data for crystalline TbScTc at its relaxed geometry, as listed in Alexandria.

raw total energy: -7.207 eV/atom
ΔH_f (0 K): -0.098 eV per atom
symmetry: I4mm, No. 107
DOS at the Fermi energy: 1.1324 states/eV/atom

POSCAR file:
```
TbScTc
1.0
-0.0440 0.7924 -3.3018
-3.3812 -0.3130 -0.0300
1.1755 5.4322 3.0342
Sc Tb Tc
1 1 1
Direct
0.2957 0.2957 0.5913
0.0289 0.0289 0.0577
0.6755 0.6755 0.3509
```

First-principles (PBE) data for crystalline TiCu3Pd at its relaxed geometry, as listed in Alexandria.

raw total energy: -4.990 eV/atom
ΔH_f (0 K): 0.085 eV per atom
symmetry: C2/c, No. 15
DOS at the Fermi energy: 0.7080 states/eV/atom

POSCAR file:
```
TiCu3Pd
1.0
4.6310 0.0000 -1.6989
-2.3155 4.8344 0.8494
-2.7557 0.0000 7.4434
Ti Cu Pd
2 6 2
Direct
0.8023 0.6046 0.7500
0.1977 0.3954 0.2500
0.4414 0.1809 0.8712
0.7395 0.1809 0.6288
0.2605 0.8191 0.3712
0.5586 0.8191 0.1288
0.0000 0.0000 0.0000
0.0000 0.0000 0.5000
0.3244 0.6488 0.7500
0.6756 0.3512 0.2500
```

First-principles (PBE) data for crystalline HoScTi4 at its relaxed geometry, as listed in Alexandria.

raw total energy: -6.847 eV/atom
ΔH_f (0 K): 0.235 eV per atom
symmetry: F-43m, No. 216
DOS at the Fermi energy: 1.9348 states/eV/atom

POSCAR file:
```
HoScTi4
1.0
5.6925 0.0000 0.0000
2.8462 4.9298 0.0000
2.8462 1.6433 4.6479
Sc Ho Ti
1 1 4
Direct
0.0000 0.0000 0.0000
0.2500 0.2500 0.2500
0.6260 0.6260 0.1220
0.6260 0.1220 0.6260
0.6260 0.6260 0.6260
0.1220 0.6260 0.6260
```

First-principles (PBE) data for crystalline CaP3W at its relaxed geometry, as listed in Alexandria.

raw total energy: -6.365 eV/atom
ΔH_f (0 K): -0.129 eV per atom
symmetry: Pm-3m, No. 221
DOS at the Fermi energy: 0.3634 states/eV/atom

POSCAR file:
```
CaP3W
1.0
4.7489 0.0000 0.0000
0.0000 4.7489 0.0000
0.0000 0.0000 4.7489
P Ca W
3 1 1
Direct
0.0000 0.5000 0.0000
0.0000 0.0000 0.5000
0.5000 0.0000 0.0000
0.5000 0.5000 0.5000
0.0000 0.0000 0.0000
```

First-principles (PBE) data for crystalline HgBN2F at its relaxed geometry, as listed in Alexandria.

raw total energy: -4.478 eV/atom
symmetry: P4/mmm, No. 123
DOS at the Fermi energy: 0.2235 states/eV/atom
formation energy without anion corrections: 0.622 eV per atom

POSCAR file:
```
HgBN2F
1.0
-1.9089 2.4657 0.7732
0.3259 -0.7239 3.1131
4.5588 3.4290 0.3202
B N Hg F
1 2 1 1
Direct
0.0000 0.0000 0.0000
0.0000 0.5000 0.0000
0.5000 0.0000 0.0000
0.5000 0.5000 0.5000
0.0000 0.0000 0.5000
```

First-principles (PBE) data for crystalline PmYTlSb at its relaxed geometry, as listed in Alexandria.

raw total energy: -4.972 eV/atom
symmetry: F-43m, No. 216
DOS at the Fermi energy: 0.9205 states/eV/atom
formation energy without anion corrections: -0.546 eV per atom

POSCAR file:
```
PmYTlSb
1.0
-4.9523 0.6564 -2.1252
-3.5646 -4.0933 0.1080
-4.3374 0.2629 3.2544
Y Sb Tl Pm
1 1 1 1
Direct
0.7500 0.7500 0.7500
0.0000 0.0000 0.0000
0.5000 0.5000 0.5000
0.2500 0.2500 0.2500
```

First-principles (PBE) data for crystalline BeSbTe2P at its relaxed geometry, as listed in Alexandria.

raw total energy: -3.209 eV/atom
symmetry: P4/mmm, No. 123
DOS at the Fermi energy: 0.7595 states/eV/atom
formation energy without anion corrections: 0.700 eV per atom

POSCAR file:
```
BeSbTe2P
1.0
4.8947 0.0000 0.0000
0.0000 4.8947 0.0000
0.0000 0.0000 4.9112
Sb Te Be P
1 2 1 1
Direct
0.0000 0.0000 0.5000
0.0000 0.5000 0.0000
0.5000 0.0000 0.0000
0.0000 0.0000 0.0000
0.5000 0.5000 0.5000
```

First-principles (PBE) data for crystalline Bi3BPb at its relaxed geometry, as listed in Alexandria.

raw total energy: -3.773 eV/atom
ΔH_f (0 K): 0.633 eV per atom
symmetry: Pm-3m, No. 221
DOS at the Fermi energy: 0.7950 states/eV/atom

POSCAR file:
```
Bi3BPb
1.0
5.1810 0.0000 0.0000
0.0000 5.1810 0.0000
0.0000 0.0000 5.1810
Pb B Bi
1 1 3
Direct
0.5000 0.5000 0.5000
0.0000 0.0000 0.0000
0.0000 0.5000 0.0000
0.0000 0.0000 0.5000
0.5000 0.0000 0.0000
```

First-principles (PBE) data for crystalline Li2TlHg at its relaxed geometry, as listed in Alexandria.

raw total energy: -1.764 eV/atom
ΔH_f (0 K): -0.140 eV per atom
symmetry: I-42d, No. 122
DOS at the Fermi energy: 0.4020 states/eV/atom

POSCAR file:
```
Li2TlHg
1.0
7.5813 0.0000 0.0000
0.0000 7.5813 0.0000
3.7906 3.7906 3.1038
Tl Hg Li
2 2 4
Direct
0.0000 0.0000 0.0000
0.7500 0.2500 0.5000
0.5000 0.5000 0.0000
0.2500 0.7500 0.5000
0.6095 0.1250 0.2500
0.1405 0.6250 0.2500
0.3750 0.3905 0.7500
0.8750 0.8595 0.7500
```

First-principles (PBE) data for crystalline Sc2Co2Ru at its relaxed geometry, as listed in Alexandria.

raw total energy: -7.084 eV/atom
ΔH_f (0 K): 0.146 eV per atom
symmetry: I4/mmm, No. 139
DOS at the Fermi energy: 1.3247 states/eV/atom

POSCAR file:
```
Sc2Co2Ru
1.0
-3.2586 2.9934 2.0802
-0.4415 2.2968 -4.2938
-0.7333 -4.8298 0.2038
Sc Co Ru
2 2 1
Direct
0.7500 0.2500 0.5000
0.2500 0.7500 0.5000
0.6588 0.6588 0.0000
0.3412 0.3412 0.0000
0.0000 0.0000 0.0000
```

Which mass density belongs to each record? In order, 4173, 4679, 7597, 6957, 4978, 11490, 5280, 3619, 7699, 16237, 7419, 7954, 5110, 4913, 7277, 8220, 5884, 10089, 7798, 6128 kg/m3.